Compound: CoOsO3
Source: OQMD
Functional: PBE+U
Structure: optimized geometry

The total energy is -7.0313 eV per atom.

The structure belongs to space group R-3c (No. 167, hexagonal axes); the cell edges are 5.2412, 5.2412 and 13.3067 Å and the angles 90.00°, 90.00° and 120.00°. Symmetry generates all atoms from Co at (0.0000, 0.0000, 0.2500), Os at (0.0000, 0.0000, 0.0000) and O at (0.0000, 0.3667, 0.2500).